Entry 1:
# PBE TiAsP2S, optimized geometry
data_TiAsP2S
_chemical_formula_sum 'Ti1 As1 P2 S1'
_symmetry_space_group_name_H-M 'P 4/m m m'
_symmetry_Int_Tables_number 123
_symmetry_space_group_name_Hall '-P 4 2'
_cell_length_a 4.800
_cell_length_b 4.800
_cell_length_c 4.495
_cell_angle_alpha 90.00
_cell_angle_beta 90.00
_cell_angle_gamma 90.00
loop_
_atom_site_label
_atom_site_fract_x
_atom_site_fract_y
_atom_site_fract_z
Ti1 0.000 0.000 0.000
As1 0.500 0.500 0.500
P1 0.000 0.500 0.000
S1 0.000 0.000 0.500
# - ΔE_f (raw) (eV per atom) = 0.3471
# - polymorph energy (0 for the lowest one) (eV per atom) = 0.000
# - E_tot (eV/atom) = -5.151

Entry 2:
# PBE TiAsP2S, optimized geometry
data_TiAsP2S
_chemical_formula_sum 'Ti1 As1 P2 S1'
_symmetry_space_group_name_H-M 'P 4/m m m'
_symmetry_Int_Tables_number 123
_symmetry_space_group_name_Hall '-P 4 2'
_cell_length_a 4.550
_cell_length_b 4.550
_cell_length_c 4.550
_cell_angle_alpha 90.00
_cell_angle_beta 90.00
_cell_angle_gamma 90.00
loop_
_atom_site_label
_atom_site_fract_x
_atom_site_fract_y
_atom_site_fract_z
Ti1 0.000 0.000 0.000
As1 0.500 0.500 0.000
P1 0.000 0.500 0.500
S1 0.000 0.000 0.500
# - ΔE_f (raw) (eV per atom) = 0.5896
# - polymorph energy (0 for the lowest one) (eV per atom) = 0.243
# - E_tot (eV/atom) = -4.909

Entry 3:
# PBE TlAsPS2, optimized geometry
data_TlAsPS2
_chemical_formula_sum 'Tl1 As1 P1 S2'
_symmetry_space_group_name_H-M 'P 4/m m m'
_symmetry_Int_Tables_number 123
_symmetry_space_group_name_Hall '-P 4 2'
_cell_length_a 5.035
_cell_length_b 5.035
_cell_length_c 5.121
_cell_angle_alpha 90.00
_cell_angle_beta 90.00
_cell_angle_gamma 90.00
loop_
_atom_site_label
_atom_site_fract_x
_atom_site_fract_y
_atom_site_fract_z
Tl1 0.000 0.000 0.000
As1 0.500 0.500 0.500
P1 0.000 0.000 0.500
S1 0.000 0.500 0.000
# - ΔE_f (raw) (eV per atom) = 1.2747
# - polymorph energy (0 for the lowest one) (eV per atom) = 0.836
# - E_tot (eV/atom) = -2.861

Entry 4:
# PBE TlAsP2S, optimized geometry
data_TlAsP2S
_chemical_formula_sum 'Tl1 As1 P2 S1'
_symmetry_space_group_name_H-M 'P 4/m m m'
_symmetry_Int_Tables_number 123
_symmetry_space_group_name_Hall '-P 4 2'
_cell_length_a 4.814
_cell_length_b 4.814
_cell_length_c 4.980
_cell_angle_alpha 90.00
_cell_angle_beta 90.00
_cell_angle_gamma 90.00
loop_
_atom_site_label
_atom_site_fract_x
_atom_site_fract_y
_atom_site_fract_z
Tl1 0.000 0.000 0.000
As1 0.500 0.500 0.500
P1 0.000 0.500 0.500
S1 0.500 0.500 0.000
# - ΔE_f (raw) (eV per atom) = 0.6460
# - polymorph energy (0 for the lowest one) (eV per atom) = 0.000
# - E_tot (eV/atom) = -3.747

Entry 5:
# PBE TlAsP2S, optimized geometry
data_TlAsP2S
_chemical_formula_sum 'Tl1 As1 P2 S1'
_symmetry_space_group_name_H-M 'P 4/m m m'
_symmetry_Int_Tables_number 123
_symmetry_space_group_name_Hall '-P 4 2'
_cell_length_a 5.099
_cell_length_b 5.099
_cell_length_c 4.998
_cell_angle_alpha 90.00
_cell_angle_beta 90.00
_cell_angle_gamma 90.00
loop_
_atom_site_label
_atom_site_fract_x
_atom_site_fract_y
_atom_site_fract_z
Tl1 0.000 0.000 0.000
As1 0.500 0.500 0.500
P1 0.000 0.500 0.000
S1 0.000 0.000 0.500
# - ΔE_f (raw) (eV per atom) = 1.4689
# - polymorph energy (0 for the lowest one) (eV per atom) = 0.823
# - E_tot (eV/atom) = -2.924

Entry 6:
# PBE TlAsPS2, optimized geometry
data_TlAsPS2
_chemical_formula_sum 'Tl1 As1 P1 S2'
_symmetry_space_group_name_H-M 'P 4/m m m'
_symmetry_Int_Tables_number 123
_symmetry_space_group_name_Hall '-P 4 2'
_cell_length_a 4.899
_cell_length_b 4.899
_cell_length_c 4.810
_cell_angle_alpha 90.00
_cell_angle_beta 90.00
_cell_angle_gamma 90.00
loop_
_atom_site_label
_atom_site_fract_x
_atom_site_fract_y
_atom_site_fract_z
Tl1 0.000 0.000 0.000
As1 0.500 0.500 0.500
P1 0.500 0.500 0.000
S1 0.000 0.500 0.500
# - ΔE_f (raw) (eV per atom) = 0.4389
# - polymorph energy (0 for the lowest one) (eV per atom) = 0.000
# - E_tot (eV/atom) = -3.697

Entry 7:
# PBE Tm8As4PS3, optimized geometry
data_Tm8As4PS3
_chemical_formula_sum 'Tm24 As12 P3 S9'
_symmetry_space_group_name_H-M 'R -3 m'
_symmetry_Int_Tables_number 166
_symmetry_space_group_name_Hall '-R 3 2"'
_cell_length_a 7.9534
_cell_length_b 7.9534
_cell_length_c 19.4041
_cell_angle_alpha 90.00
_cell_angle_beta 90.00
_cell_angle_gamma 120.00
loop_
_atom_site_label
_atom_site_fract_x
_atom_site_fract_y
_atom_site_fract_z
Tm1 0.0000 0.0000 0.2498
Tm2 0.0037 0.5019 0.2488
As1 0.0000 0.0000 0.0000
As2 0.0000 0.5000 0.0000
P1 0.0000 0.0000 0.5000
S1 0.0000 0.5000 0.5000
# - ΔE_f (raw) (eV per atom) = -1.7175
# - E_tot (eV/atom) = -6.228

Entry 8:
# PBE Tm4AsP2S, optimized geometry
data_Tm4AsP2S
_chemical_formula_sum 'Tm4 As1 P2 S1'
_symmetry_space_group_name_H-M 'P 1 2/m 1'
_symmetry_Int_Tables_number 10
_symmetry_space_group_name_Hall '-P 2y'
_cell_length_a 6.838
_cell_length_b 3.954
_cell_length_c 6.855
_cell_angle_alpha 90.00
_cell_angle_beta 109.36
_cell_angle_gamma 90.00
loop_
_atom_site_label
_atom_site_fract_x
_atom_site_fract_y
_atom_site_fract_z
Tm1 0.247 0.000 0.241
Tm2 0.253 0.500 0.758
As1 0.000 0.000 0.500
P1 0.000 0.500 0.000
P2 0.500 0.000 0.000
S1 0.500 0.500 0.500
# - ΔE_f (raw) (eV per atom) = -1.7205
# - E_tot (eV/atom) = -6.406